An optimized crystal structure of AlV2Ru5W2. Source: Alexandria via LeMat-Bulk, functional PBE-GGA.

```
AlV2Ru5W2
1.0
9.988 0.000 0.000
0.000 9.988 0.000
0.000 0.000 2.944
Al V Ru W
2 4 10 4
direct
0.000 0.000 0.000
0.500 0.500 0.000
0.140 0.360 0.000
0.360 0.860 0.000
0.640 0.140 0.000
0.860 0.640 0.000
0.000 0.500 0.500
0.029 0.206 0.500
0.206 0.971 0.500
0.294 0.471 0.500
0.471 0.706 0.500
0.500 0.000 0.500
0.529 0.294 0.500
0.706 0.529 0.500
0.794 0.029 0.500
0.971 0.794 0.500
0.181 0.681 0.000
0.319 0.181 0.000
0.681 0.819 0.000
0.819 0.319 0.000
```

Properties
**D(E_F)**: 9.213 states/eV/f.u.
**Energy of formation**: 0.6 eV/f.u.
**ρ**: 11.33 g cm⁻³